Entry 1:
VASP calculation (PBE) on an optimized crystal structure of HoTaRu4.

Calculated values
theoretical density = 12.45 g cm⁻³
M_tot = 0.000 μB per atom
space-group type = F-43m
E_tot = -9.04 eV per atom

abc: 5.211 5.211 5.211
angles: 60.00 60.00 60.00
Sites, in units of the cell vectors:
Ru: 0.625 0.125 0.625
Ru: 0.625 0.625 0.625
Ru: 0.125 0.625 0.625
Ru: 0.625 0.625 0.125
Ho: 0.250 0.250 0.250
Ta: 0.000 0.000 0.000

***

Entry 2:
VASP calculation (PBE) on an optimized crystal structure of HoTa2Ru3.

Calculated values
theoretical density = 13.31 g cm⁻³
M_tot = 0.000 μB per atom
space-group type = P4/mmm
E_tot = -9.78 eV per atom

abc: 3.156 3.156 10.399
angles: 90.00 90.00 90.00
Sites, in units of the cell vectors:
Ru: 0.000 0.000 0.699
Ru: 0.000 0.000 0.301
Ru: 0.000 0.000 0.000
Ta: 0.500 0.500 0.839
Ta: 0.500 0.500 0.161
Ho: 0.500 0.500 0.500

***

Entry 3:
VASP calculation (PBE) on an optimized crystal structure of TbHo3Ru2.

Calculated values
theoretical density = 9.96 g cm⁻³
M_tot = 0.000 μB per atom
space-group type = Pmc2_1
E_tot = -6.51 eV per atom

abc: 4.338 7.469 8.807
angles: 90.00 90.00 90.00
Sites, in units of the cell vectors:
Ho: 0.500 0.148 0.821
Ho: 0.000 0.353 0.319
Ho: 0.000 0.853 0.681
Ho: 0.000 0.980 0.084
Ho: 0.500 0.648 0.179
Ho: 0.000 0.480 0.916
Ru: 0.000 0.747 0.361
Ru: 0.500 0.753 0.863
Ru: 0.500 0.253 0.137
Ru: 0.000 0.247 0.639
Tb: 0.500 0.519 0.584
Tb: 0.500 0.019 0.416

***

Entry 4:
VASP calculation (PBE) on an optimized crystal structure of Tb2Ho5Ru4.

Calculated values
theoretical density = 9.36 g cm⁻³
M_tot = 0.000 μB per atom
space-group type = C2/m
E_tot = -6.13 eV per atom

abc: 3.319 6.529 13.697
angles: 111.11 96.96 90.00
Sites, in units of the cell vectors:
Ru: 0.967 0.648 0.933
Ru: 0.033 0.352 0.067
Ru: 0.729 0.623 0.458
Ru: 0.271 0.377 0.542
Ho: 0.500 0.000 0.000
Ho: 0.803 0.045 0.606
Ho: 0.197 0.955 0.394
Ho: 0.858 0.624 0.716
Ho: 0.142 0.376 0.284
Tb: 0.072 0.764 0.144
Tb: 0.928 0.236 0.856

***

Entry 5:
VASP calculation (PBE) on an optimized crystal structure of Tb3Ho2Ru4.

Calculated values
theoretical density = 10.61 g cm⁻³
M_tot = 0.000 μB per atom
space-group type = P-3m1
E_tot = -7.00 eV per atom

abc: 4.870 4.870 9.226
angles: 90.00 90.00 60.00
Sites, in units of the cell vectors:
Tb: 0.667 0.667 0.591
Tb: 0.333 0.333 0.409
Tb: 0.000 0.000 0.000
Ho: 0.333 0.333 0.795
Ho: 0.667 0.667 0.205
Ru: 0.333 0.333 0.106
Ru: 0.000 0.000 0.643
Ru: 0.000 0.000 0.357
Ru: 0.667 0.667 0.894

***

Entry 6:
VASP calculation (PBE) on an optimized crystal structure of TbHo3Ru3.

Calculated values
theoretical density = 10.21 g cm⁻³
M_tot = 0.000 μB per atom
space-group type = C2/m
E_tot = -6.95 eV per atom

abc: 6.804 6.804 6.723
angles: 90.06 90.06 90.44
Sites, in units of the cell vectors:
Ho: 0.246 0.754 0.500
Ho: 0.242 0.758 0.000
Ho: 0.755 0.755 0.499
Ho: 0.245 0.245 0.501
Ho: 0.758 0.242 0.000
Ho: 0.754 0.246 0.500
Ru: 0.500 0.000 0.251
Ru: 0.500 0.000 0.749
Ru: 0.000 0.000 0.749
Ru: 0.000 0.500 0.251
Ru: 0.000 0.500 0.749
Ru: 0.000 0.000 0.251
Tb: 0.750 0.750 0.999
Tb: 0.250 0.250 0.001